No. 1
Density functional theory data (GGA-PBE) for TcN4 after structural relaxation.

Values from the calculation:
N(E_F): 3.35 states/eV/f.u.
formation energy without anion corrections: 2.11 eV/atom
crystal system: cubic

Lattice parameters (Å, degrees): 3.9241 3.9241 3.9241 90.00 90.00 90.00
With the nearest neighbours (Å) after each atom.
Fractional positions:
Tc 0.0000 0.0000 0.0000  6 N 1.96
N 0.0000 0.0000 0.5000  2 Tc 1.96
N 0.0000 0.5000 0.0000  2 Tc 1.96
N 0.5000 0.0000 0.0000  2 Tc 1.96
N 0.5000 0.5000 0.5000  12 N 2.77

No. 2
Density functional theory data (GGA-PBE) for Sm2Dy3Tm6 after structural relaxation.

Values from the calculation:
N(E_F): 17.93 states/eV/f.u.
energy of formation from the pure elements: 0.1921 eV per atom
crystal system: monoclinic

Lattice parameters (Å, degrees): 6.0590 6.0590 11.5692 95.04 95.04 120.07
With the nearest neighbours (Å) after each atom.
Fractional positions:
Sm 0.1666 0.8334 0.0000  3 Sm 3.50, 6 Tm 3.50-3.51
Sm 0.8334 0.1666 0.0000  3 Sm 3.50, 6 Tm 3.50-3.51
Dy 0.0000 0.0000 0.5000  6 Tm 3.47-3.48, 6 Dy 3.49-3.52
Dy 0.3352 0.6648 0.5000  6 Dy 3.46-3.52, 6 Tm 3.46-3.48
Dy 0.6648 0.3352 0.5000  6 Dy 3.46-3.52, 6 Tm 3.46-3.48
Tm 0.0828 0.4162 0.7482  3 Dy 3.47-3.48, 6 Tm 3.50, 2 Sm 3.51
Tm 0.2504 0.2504 0.2517  3 Dy 3.46-3.48, 6 Tm 3.50, 2 Sm 3.50
Tm 0.4162 0.0828 0.7482  3 Dy 3.47-3.48, 6 Tm 3.50, 2 Sm 3.51
Tm 0.5838 0.9172 0.2518  3 Dy 3.47-3.48, 6 Tm 3.50, 2 Sm 3.51
Tm 0.7496 0.7496 0.7483  3 Dy 3.46-3.48, 6 Tm 3.50, 2 Sm 3.50
Tm 0.9172 0.5838 0.2518  3 Dy 3.47-3.48, 6 Tm 3.50, 2 Sm 3.51

No. 3
Density functional theory data (GGA-PBE) for LaCeRh2 after structural relaxation.

Values from the calculation:
N(E_F): 4.20 states/eV/f.u.
energy of formation from the pure elements: -0.6890 eV per atom
crystal system: tetragonal

Lattice parameters (Å, degrees): 3.5105 3.5105 7.1771 90.00 90.00 90.00
With the nearest neighbours (Å) after each atom.
Fractional positions:
La 0.0000 0.0000 0.0000  8 Rh 3.21, 4 La 3.51, 2 Ce 3.59
Ce 0.0000 0.0000 0.5000  8 Rh 2.93
Rh 0.5000 0.5000 0.2826  4 Ce 2.93, 1 Rh 3.12, 4 La 3.21
Rh 0.5000 0.5000 0.7174  4 Ce 2.93, 1 Rh 3.12, 4 La 3.21

No. 4
Density functional theory data (GGA-PBE) for ErBe4Au8 after structural relaxation.

Values from the calculation:
N(E_F): 6.02 states/eV/f.u.
energy of formation from the pure elements: 0.0347 eV per atom
crystal system: trigonal

Lattice parameters (Å, degrees): 8.2139 8.2139 8.2139 42.55 42.55 42.55
With the nearest neighbours (Å) after each atom.
Fractional positions:
Er 0.0000 0.0000 0.0000  6 Au 2.87, 6 Be 2.98
Be 0.0000 0.5000 0.5000  2 Au 2.24
Be 0.5000 0.0000 0.5000  2 Au 2.24
Be 0.5000 0.5000 0.0000  2 Au 2.24
Be 0.5000 0.5000 0.5000  6 Au 2.25
Au 0.2206 0.7337 0.7337  1 Be 2.25
Au 0.2663 0.2663 0.7794  1 Be 2.25
Au 0.2663 0.7794 0.2663  1 Be 2.25
Au 0.2694 0.2694 0.2694  3 Be 2.24
Au 0.7306 0.7306 0.7306  3 Be 2.24
Au 0.7337 0.2206 0.7337  1 Be 2.25
Au 0.7337 0.7337 0.2206  1 Be 2.25
Au 0.7794 0.2663 0.2663  1 Be 2.25